Material: RbInH
Method: DFT, GGA-PBE
State: optimized geometry

The distance to the lowest polymorph of the same formula is 0 kJ/mol of formula units. As for the calculated total energy: -45.23 eV for the cell shown. The value obtained for the total magnetization is 0.00 μB per formula unit.

a b c (Å): 5.2439 5.2439 21.9468
angles (deg): 90.00 90.00 120.00
Last column: nearest neighbours and their distance in Å.
Space group R-3m (No. 166, hexagonal axes)
Unique sites:
Rb: 0.0000 0.0000 0.1007  4 H 2.96-3.03
In: 0.0000 0.0000 0.3244  1 H 1.95
H: 0.0000 0.0000 0.2357  1 In 1.95